Density functional theory data (PBE-GGA) for an optimized crystal structure of HfSc3Ru.

- DFT total energy: -7.79 eV/atom
- SG: C2/m (12)
- Total moment: 0.0 μB/f.u.
- Energy relative to the elements: -0.15 eV/atom
- Excess energy over the best structure of this formula in the dataset: 0 meV per atom

Structure (POSCAR):
```
HfSc3Ru
1.0
6.690 -0.014 -0.057
-1.844 6.431 0.057
-2.731 -2.975 5.383
Hf Sc Ru
2 6 2
Direct
0.707 0.058 0.765 Hf
0.293 0.942 0.235 Hf
0.846 0.040 0.274 Sc
0.233 0.428 0.274 Sc
0.767 0.572 0.726 Sc
0.721 0.446 0.167 Sc
0.154 0.960 0.726 Sc
0.279 0.554 0.833 Sc
0.614 0.753 0.367 Ru
0.386 0.247 0.633 Ru
```